(1)
KInN2O | PBEsol | optimized geometry

Summary:
**E_form (uncorrected)**: 0.652 eV/atom
**Calculated total energy**: -4.6316 eV per atom

abc: 4.399 4.399 4.242
angles: 90.00 90.00 90.00
Positions (direct):
K (0.000, 0.000, 0.000)
In (0.500, 0.500, 0.500)
N (0.000, 0.500, 0.500)
N (0.500, 0.000, 0.500)
O (0.500, 0.500, 0.000)

(2)
KInNO2 | PBEsol | optimized geometry

Summary:
**E_form (uncorrected)**: -0.123 eV/atom
**Calculated total energy**: -4.7509 eV per atom

abc: 4.239 4.239 4.383
angles: 90.00 90.00 90.00
Positions (direct):
K (0.000, 0.000, 0.000)
In (0.500, 0.500, 0.500)
N (0.500, 0.500, 0.000)
O (0.000, 0.500, 0.500)
O (0.500, 0.000, 0.500)

(3)
KInSN2 | PBEsol | optimized geometry

Summary:
**E_form (uncorrected)**: 1.941 eV/atom
**Calculated total energy**: -3.1699 eV per atom

abc: 4.806 4.806 5.866
angles: 90.00 90.00 90.00
Positions (direct):
K (0.000, 0.000, 0.000)
In (0.500, 0.500, 0.500)
S (0.000, 0.000, 0.500)
N (0.000, 0.500, 0.000)
N (0.500, 0.000, 0.000)

(4)
KInSeN2 | PBEsol | optimized geometry

Summary:
**E_form (uncorrected)**: 0.909 eV/atom
**Calculated total energy**: -4.0953 eV per atom

abc: 4.451 4.451 5.396
angles: 90.00 90.00 90.00
Positions (direct):
K (0.000, 0.000, 0.000)
In (0.500, 0.500, 0.500)
Se (0.500, 0.500, 0.000)
N (0.000, 0.500, 0.500)
N (0.500, 0.000, 0.500)

(5)
KNa2In | PBEsol | optimized geometry

Summary:
**Energy of formation**: 0.11 eV per atom
**Calculated total energy**: -1.6149 eV per atom

abc: 5.022 5.022 23.623
angles: 90.00 90.00 90.00
Positions (direct):
K (0.000, 0.000, 0.000)
K (0.000, 0.500, 0.250)
K (0.500, 0.000, 0.750)
K (0.500, 0.500, 0.500)
Na (0.206, 0.250, 0.625)
Na (0.250, 0.706, 0.875)
Na (0.250, 0.794, 0.375)
Na (0.294, 0.250, 0.125)
Na (0.706, 0.750, 0.125)
Na (0.750, 0.206, 0.375)
Na (0.750, 0.294, 0.875)
Na (0.794, 0.750, 0.625)
In (0.000, 0.000, 0.500)
In (0.000, 0.500, 0.750)
In (0.500, 0.000, 0.250)
In (0.500, 0.500, 0.000)

(6)
KNa3In9 | PBEsol | optimized geometry

Summary:
**Energy of formation**: -0.16 eV per atom
**Calculated total energy**: -2.6401 eV per atom

abc: 9.592 9.592 17.344
angles: 90.00 90.00 118.00
Positions (direct):
K (0.034, 0.966, 0.840)
K (0.466, 0.534, 0.340)
K (0.534, 0.466, 0.660)
K (0.966, 0.034, 0.160)
Na (0.040, 0.576, 0.911)
Na (0.076, 0.540, 0.411)
Na (0.134, 0.366, 0.750)
Na (0.366, 0.134, 0.250)
Na (0.424, 0.960, 0.911)
Na (0.460, 0.924, 0.411)
Na (0.540, 0.076, 0.589)
Na (0.576, 0.040, 0.089)
Na (0.634, 0.866, 0.750)
Na (0.866, 0.634, 0.250)
Na (0.924, 0.460, 0.589)
Na (0.960, 0.424, 0.089)
In (0.086, 0.414, 0.250)
In (0.095, 0.209, 0.369)
In (0.103, 0.897, 0.361)
In (0.159, 0.322, 0.963)
In (0.163, 0.837, 0.523)
In (0.174, 0.826, 0.086)
In (0.178, 0.341, 0.537)
In (0.209, 0.095, 0.631)
In (0.242, 0.758, 0.246)
In (0.258, 0.742, 0.746)
In (0.291, 0.405, 0.131)
In (0.322, 0.159, 0.037)
In (0.326, 0.674, 0.586)
In (0.337, 0.663, 0.023)
In (0.341, 0.178, 0.463)
In (0.397, 0.603, 0.861)
In (0.405, 0.291, 0.869)
In (0.414, 0.086, 0.750)
In (0.586, 0.914, 0.250)
In (0.595, 0.709, 0.131)
In (0.603, 0.397, 0.139)
In (0.659, 0.822, 0.537)
In (0.663, 0.337, 0.977)
In (0.674, 0.326, 0.414)
In (0.678, 0.841, 0.963)
In (0.709, 0.595, 0.869)
In (0.742, 0.258, 0.254)
In (0.758, 0.242, 0.754)
In (0.791, 0.905, 0.369)
In (0.822, 0.659, 0.463)
In (0.826, 0.174, 0.914)
In (0.837, 0.163, 0.477)
In (0.841, 0.678, 0.037)
In (0.897, 0.103, 0.639)
In (0.905, 0.791, 0.631)
In (0.914, 0.586, 0.750)

(7)
K3Na2InO4 | PBEsol | optimized geometry

Summary:
**E_form (uncorrected)**: -1.369 eV/atom
**Calculated total energy**: -4.3870 eV per atom

abc: 7.250 9.621 12.328
angles: 90.00 124.94 90.00
Positions (direct):
K (0.057, 0.245, 0.162)
K (0.057, 0.255, 0.662)
K (0.283, 0.006, 0.519)
K (0.283, 0.494, 0.019)
K (0.431, 0.663, 0.603)
K (0.431, 0.837, 0.103)
K (0.569, 0.163, 0.897)
K (0.569, 0.337, 0.397)
K (0.717, 0.506, 0.981)
K (0.717, 0.994, 0.481)
K (0.943, 0.745, 0.338)
K (0.943, 0.755, 0.838)
Na (0.182, 0.568, 0.723)
Na (0.182, 0.932, 0.223)
Na (0.250, 0.166, 0.994)
Na (0.250, 0.334, 0.494)
Na (0.750, 0.666, 0.506)
Na (0.750, 0.834, 0.006)
Na (0.818, 0.068, 0.777)
Na (0.818, 0.432, 0.277)
In (0.292, 0.632, 0.269)
In (0.292, 0.868, 0.769)
In (0.708, 0.132, 0.231)
In (0.708, 0.368, 0.731)
O (0.070, 0.713, 0.081)
O (0.070, 0.787, 0.581)
O (0.161, 0.027, 0.817)
O (0.161, 0.473, 0.317)
O (0.395, 0.705, 0.908)
O (0.395, 0.795, 0.408)
O (0.410, 0.083, 0.212)
O (0.410, 0.417, 0.712)
O (0.590, 0.583, 0.288)
O (0.590, 0.917, 0.788)
O (0.605, 0.205, 0.592)
O (0.605, 0.295, 0.092)
O (0.839, 0.527, 0.683)
O (0.839, 0.973, 0.183)
O (0.930, 0.213, 0.419)
O (0.930, 0.287, 0.919)

(8)
K2Na3InO4 | PBEsol | optimized geometry

Summary:
**E_form (uncorrected)**: -1.384 eV/atom
**Calculated total energy**: -4.4283 eV per atom

abc: 9.212 9.491 7.563
angles: 90.00 90.00 90.00
Positions (direct):
K (0.000, 0.000, 0.244)
K (0.000, 0.000, 0.756)
K (0.232, 0.232, 0.500)
K (0.268, 0.732, 0.000)
K (0.500, 0.500, 0.256)
K (0.500, 0.500, 0.744)
K (0.732, 0.268, 0.000)
K (0.768, 0.768, 0.500)
Na (0.017, 0.651, 0.247)
Na (0.017, 0.651, 0.753)
Na (0.236, 0.573, 0.500)
Na (0.264, 0.073, 0.000)
Na (0.483, 0.151, 0.253)
Na (0.483, 0.151, 0.747)
Na (0.517, 0.849, 0.253)
Na (0.517, 0.849, 0.747)
Na (0.736, 0.927, 0.000)
Na (0.764, 0.427, 0.500)
Na (0.983, 0.349, 0.247)
Na (0.983, 0.349, 0.753)
In (0.230, 0.371, 0.000)
In (0.270, 0.871, 0.500)
In (0.730, 0.129, 0.500)
In (0.770, 0.629, 0.000)
O (0.059, 0.221, 0.000)
O (0.066, 0.777, 0.500)
O (0.201, 0.484, 0.231)
O (0.201, 0.484, 0.769)
O (0.299, 0.984, 0.269)
O (0.299, 0.984, 0.731)
O (0.434, 0.277, 0.000)
O (0.441, 0.721, 0.500)
O (0.559, 0.279, 0.500)
O (0.566, 0.723, 0.000)
O (0.701, 0.016, 0.269)
O (0.701, 0.016, 0.731)
O (0.799, 0.516, 0.231)
O (0.799, 0.516, 0.769)
O (0.934, 0.223, 0.500)
O (0.941, 0.779, 0.000)

What did the second record say?
KInNO2 | PBEsol | optimized geometry

Summary:
**E_form (uncorrected)**: -0.123 eV/atom
**Calculated total energy**: -4.7509 eV per atom

abc: 4.239 4.239 4.383
angles: 90.00 90.00 90.00
Positions (direct):
K (0.000, 0.000, 0.000)
In (0.500, 0.500, 0.500)
N (0.500, 0.500, 0.000)
O (0.000, 0.500, 0.500)
O (0.500, 0.000, 0.500)

Look up the calculated total energy of the first one.
-4.6316 eV per atom

What is the formula in the seventh record?
K3Na2InO4

Which formula does entry 6 have?
KNa3In9